No. 1
BaZn3As3: optimized geometry, PBE.

Cell and atoms, written as CIF:
```
data_BaZn3As3
_chemical_formula_sum 'Ba2 Zn6 As6'
_symmetry_space_group_name_H-M 'P 1'
_symmetry_Int_Tables_number 1
_cell_length_a 4.346
_cell_length_b 9.957
_cell_length_c 9.957
_cell_angle_alpha 120.00
_cell_angle_beta 90.00
_cell_angle_gamma 90.00
loop_
_symmetry_equiv_pos_as_xyz
'x,y,z'
loop_
_atom_site_label
_atom_site_type_symbol
_atom_site_fract_x
_atom_site_fract_y
_atom_site_fract_z
As1 As 0.750 0.404 0.085
As2 As 0.750 0.915 0.319
Ba1 Ba 0.250 0.667 0.333
As3 As 0.750 0.681 0.596
As4 As 0.250 0.085 0.681
Zn1 Zn 0.750 0.943 0.614
Zn2 Zn 0.750 0.386 0.329
As5 As 0.250 0.596 0.915
Zn3 Zn 0.250 0.329 0.943
Ba2 Ba 0.750 0.333 0.667
Zn4 Zn 0.750 0.671 0.057
As6 As 0.250 0.319 0.404
Zn5 Zn 0.250 0.057 0.386
Zn6 Zn 0.250 0.614 0.671
```

Results
Total magnetization in Bohr magnetons per cell: 0.000
Symmetry: P6_3/m (176)
DFT formation energy in eV per formula unit: -3.0

No. 2
RbRePCl2: optimized geometry, PBE.

Cell and atoms, written as CIF:
```
data_RbRePCl2
_chemical_formula_sum 'Rb1 Re1 P1 Cl2'
_symmetry_space_group_name_H-M 'P 1'
_symmetry_Int_Tables_number 1
_cell_length_a 5.216
_cell_length_b 5.216
_cell_length_c 4.572
_cell_angle_alpha 90.00
_cell_angle_beta 90.00
_cell_angle_gamma 90.00
loop_
_symmetry_equiv_pos_as_xyz
'x,y,z'
loop_
_atom_site_label
_atom_site_type_symbol
_atom_site_fract_x
_atom_site_fract_y
_atom_site_fract_z
Rb1 Rb 0.500 0.500 0.500
Cl1 Cl 0.500 0.000 0.000
Re1 Re 0.000 0.000 0.000
P1 P 0.000 0.000 0.500
Cl2 Cl 0.000 0.500 0.000
```

Results
Total magnetization in Bohr magnetons per cell: 1.776
Symmetry: P4/mmm (123)
Raw formation energy in eV/atom: -0.33

No. 3
GaCu2Au2: optimized geometry, PBE.

Cell and atoms, written as CIF:
```
data_GaCu2Au2
_chemical_formula_sum 'Ga2 Cu4 Au4'
_symmetry_space_group_name_H-M 'P 1'
_symmetry_Int_Tables_number 1
_cell_length_a 7.066
_cell_length_b 7.066
_cell_length_c 3.285
_cell_angle_alpha 90.00
_cell_angle_beta 90.00
_cell_angle_gamma 90.00
loop_
_symmetry_equiv_pos_as_xyz
'x,y,z'
loop_
_atom_site_label
_atom_site_type_symbol
_atom_site_fract_x
_atom_site_fract_y
_atom_site_fract_z
Cu1 Cu 0.140 0.640 0.500
Cu2 Cu 0.860 0.360 0.500
Ga1 Ga 0.000 0.000 0.000
Au1 Au 0.156 0.344 0.000
Cu3 Cu 0.360 0.140 0.500
Au2 Au 0.344 0.844 0.000
Cu4 Cu 0.640 0.860 0.500
Ga2 Ga 0.500 0.500 0.000
Au3 Au 0.656 0.156 0.000
Au4 Au 0.844 0.656 0.000
```

Results
Total magnetization in Bohr magnetons per cell: 0.000
Symmetry: P4/mbm (127)
DFT formation energy in eV per formula unit: 0.0

Which of these has the highest total magnetization?
RbRePCl2

Which of these has the highest total magnetization?
RbRePCl2

Number 2 is which compound?
RbRePCl2

What is the total magnetization in the third record?
0.000 Bohr magnetons per cell